[1]
Material: Mn2CrPd9
Method: DFT, GGA-PBE
State: optimized geometry

Summary:
ρ ... 10.3 g/cm3

Unit cell a=3.919 b=3.919 c=11.753 alpha=90.00 beta=90.00 gamma=90.00
Positions (direct):
1 Mn 0.000 0.000 0.167
2 Mn 0.000 0.000 0.833
3 Cr 0.000 0.000 0.500
4 Pd 0.000 0.500 0.000
5 Pd 0.000 0.500 0.335
6 Pd 0.000 0.500 0.665
7 Pd 0.500 0.000 0.000
8 Pd 0.500 0.000 0.335
9 Pd 0.500 0.000 0.665
10 Pd 0.500 0.500 0.168
11 Pd 0.500 0.500 0.500
12 Pd 0.500 0.500 0.832

[2]
Material: Ac2PmCd
Method: DFT, GGA-PBE
State: optimized geometry

Summary:
ρ ... 7.3 g/cm3
Distance to the lowest polymorph of the same formula ... 319.4 meV/atom

Unit cell a=13.192 b=13.192 c=13.192 alpha=16.56 beta=16.56 gamma=16.56
Positions (direct):
1 Ac 0.089 0.089 0.089
2 Ac 0.911 0.911 0.911
3 Pm 0.500 0.500 0.500
4 Cd 0.000 0.000 0.000

[3]
Material: Sm2TmTl2Zn2
Method: DFT, GGA-PBE
State: optimized geometry

Summary:
ρ ... 9.2 g/cm3

Unit cell a=9.713 b=9.713 c=9.713 alpha=28.24 beta=28.24 gamma=28.24
Positions (direct):
1 Sm 0.125 0.125 0.125
2 Sm 0.875 0.875 0.875
3 Tm 0.000 0.000 0.000
4 Tl 0.265 0.265 0.265
5 Tl 0.735 0.735 0.735
6 Zn 0.388 0.388 0.388
7 Zn 0.612 0.612 0.612

[4]
Material: Ac7Ho
Method: DFT, GGA-PBE
State: optimized geometry

Summary:
ρ ... 8.4 g/cm3

Unit cell a=7.874 b=7.874 c=7.874 alpha=60.00 beta=60.00 gamma=60.00
Positions (direct):
1 Ac 0.000 0.000 0.000
2 Ac 0.000 0.000 0.500
3 Ac 0.000 0.500 0.000
4 Ac 0.000 0.500 0.500
5 Ac 0.500 0.000 0.000
6 Ac 0.500 0.000 0.500
7 Ac 0.500 0.500 0.000
8 Ho 0.500 0.500 0.500

[5]
Material: Pr2Ag3Pb
Method: DFT, GGA-PBE
State: optimized geometry

Summary:
ρ ... 8.7 g/cm3

Unit cell a=9.874 b=9.310 c=6.136 alpha=76.42 beta=66.42 gamma=37.16
Positions (direct):
1 Pr 0.237 0.763 0.763
2 Pr 0.250 0.250 0.250
3 Pr 0.750 0.750 0.750
4 Pr 0.763 0.237 0.237
5 Ag 0.164 0.673 0.327
6 Ag 0.165 0.165 0.835
7 Ag 0.327 0.836 0.164
8 Ag 0.673 0.164 0.836
9 Ag 0.835 0.835 0.165
10 Ag 0.836 0.327 0.673
11 Pb 0.336 0.336 0.664
12 Pb 0.664 0.664 0.336

[6]
Material: HfTi5Ga3
Method: DFT, GGA-PBE
State: optimized geometry

Summary:
ρ ... 6.9 g/cm3
Distance to the lowest polymorph of the same formula ... 0.0 meV/atom

Unit cell a=7.906 b=7.906 c=5.568 alpha=90.00 beta=90.00 gamma=120.00
Positions (direct):
1 Hf 0.000 0.000 0.000
2 Hf 0.000 0.000 0.500
3 Ti 0.000 0.337 0.250
4 Ti 0.000 0.663 0.750
5 Ti 0.333 0.667 0.000
6 Ti 0.333 0.667 0.500
7 Ti 0.337 0.000 0.250
8 Ti 0.337 0.337 0.750
9 Ti 0.663 0.000 0.750
10 Ti 0.663 0.663 0.250
11 Ti 0.667 0.333 0.000
12 Ti 0.667 0.333 0.500
13 Ga 0.000 0.335 0.750
14 Ga 0.000 0.665 0.250
15 Ga 0.335 0.000 0.750
16 Ga 0.335 0.335 0.250
17 Ga 0.665 0.000 0.250
18 Ga 0.665 0.665 0.750

no.,calculated total energy (eV/atom),calculated formation energy (kJ/mol of formula units)
1,-6.391,-193
2,-3.283,72
3,-3.183,-106
4,-4.134,26
5,-3.946,-179
6,-6.885,-333